Entry 1:
## Ti4BeFe2 (PBE)

Data for a geometry-optimized Ti4BeFe2 structure.

Structure (CIF):
```
data_Ti4BeFe2
_space_group_name_H-M_alt 'R -3 m'
_space_group_IT_number 166
_space_group_name_Hall '-R 3 2"'
_cell_length_a 4.1633
_cell_length_b 4.1633
_cell_length_c 19.8399
_cell_angle_alpha 90.00
_cell_angle_beta 90.00
_cell_angle_gamma 120.00
loop_
_atom_site_label
_atom_site_type_symbol
_atom_site_fract_x
_atom_site_fract_y
_atom_site_fract_z
_atom_site_occupancy
Ti1 Ti 0.0000 0.0000 0.1189 1
Ti2 Ti 0.0000 0.0000 0.3700 1
Be1 Be 0.0000 0.0000 0.5000 1
Fe1 Fe 0.0000 0.0000 0.2451 1
```

Properties
Calculated density (g cm⁻³): 5.2
Energy of formation (eV per atom): -0.15
Total energy (eV per cell): -159.75

***

Entry 2:
## TiBe9Fe2 (PBE)

Data for a geometry-optimized TiBe9Fe2 structure.

Structure (CIF):
```
data_TiBe9Fe2
_space_group_name_H-M_alt 'R -3 m'
_space_group_IT_number 166
_space_group_name_Hall '-R 3 2"'
_cell_length_a 4.2651
_cell_length_b 4.2651
_cell_length_c 20.3624
_cell_angle_alpha 90.00
_cell_angle_beta 90.00
_cell_angle_gamma 120.00
loop_
_atom_site_label
_atom_site_type_symbol
_atom_site_fract_x
_atom_site_fract_y
_atom_site_fract_z
_atom_site_occupancy
Ti1 Ti 0.0000 0.0000 0.0000 1
Be1 Be 0.0000 0.0000 0.3333 1
Be2 Be 0.0000 0.0000 0.5000 1
Be3 Be 0.0045 0.5023 0.9140 1
Fe1 Fe 0.0000 0.0000 0.1441 1
```

Properties
Calculated density (g cm⁻³): 3.7
Energy of formation (eV per atom): -0.23
Total energy (eV per cell): -183.51

***

Entry 3:
## TiBe2Fe (PBE)

Data for a geometry-optimized TiBe2Fe structure.

Structure (CIF):
```
data_TiBe2Fe
_space_group_name_H-M_alt 'F m -3 m'
_space_group_IT_number 225
_space_group_name_Hall '-F 4 2 3'
_cell_length_a 5.540
_cell_length_b 5.540
_cell_length_c 5.540
_cell_angle_alpha 90.00
_cell_angle_beta 90.00
_cell_angle_gamma 90.00
loop_
_atom_site_label
_atom_site_type_symbol
_atom_site_fract_x
_atom_site_fract_y
_atom_site_fract_z
_atom_site_occupancy
Ti1 Ti 0.000 0.000 0.000 1
Be1 Be 0.250 0.250 0.250 1
Fe1 Fe 0.000 0.000 0.500 1
```

Properties
Calculated density (g cm⁻³): 4.8
Energy of formation (eV per atom): -0.14
Total energy (eV per cell): -97.53
Polymorph energy (0 for the lowest one) (meV/atom): 0